# 1
# LiAgW | the Alexandria database | PBE-GGA | relaxed
data_LiAgW
_symmetry_space_group_name_H-M 'C m c m'
_symmetry_Int_Tables_number 63
_symmetry_space_group_name_Hall '-C 2c 2'
_cell_length_a 5.022
_cell_length_b 9.296
_cell_length_c 4.992
_cell_angle_alpha 90.00
_cell_angle_beta 90.00
_cell_angle_gamma 90.00
loop_
_atom_site_label
_atom_site_type_symbol
_atom_site_fract_x
_atom_site_fract_y
_atom_site_fract_z
Li1 Li 0.000 0.240 0.250
Ag1 Ag 0.000 0.500 0.000
W1 W 0.000 0.045 0.750
# Crystal system   orthorhombic
# Density of states at the Fermi level   4.72 states/eV/cell
# Energy of formation   2.86 eV per formula unit
# Total moment   0.00 μB/atom

=====

# 2
# YVC3 | the Alexandria database | PBE-GGA | relaxed
data_YVC3
_symmetry_space_group_name_H-M 'P m -3 m'
_symmetry_Int_Tables_number 221
_symmetry_space_group_name_Hall '-P 4 2 3'
_cell_length_a 4.345
_cell_length_b 4.345
_cell_length_c 4.345
_cell_angle_alpha 90.00
_cell_angle_beta 90.00
_cell_angle_gamma 90.00
loop_
_atom_site_label
_atom_site_type_symbol
_atom_site_fract_x
_atom_site_fract_y
_atom_site_fract_z
Y1 Y 0.000 0.000 0.000
V1 V 0.500 0.500 0.500
C1 C 0.000 0.000 0.500
# Crystal system   cubic
# Density of states at the Fermi level   4.64 states/eV/cell
# Energy of formation   13.52 eV per formula unit
# Total moment   0.55 μB/atom

=====

# 3
# SmTm6Sc2 | the Alexandria database | PBE-GGA | relaxed
data_SmTm6Sc2
_symmetry_space_group_name_H-M 'P -6 m 2'
_symmetry_Int_Tables_number 187
_symmetry_space_group_name_Hall 'P -6 2'
_cell_length_a 3.4978
_cell_length_b 3.4978
_cell_length_c 25.2342
_cell_angle_alpha 90.00
_cell_angle_beta 90.00
_cell_angle_gamma 120.00
loop_
_atom_site_label
_atom_site_type_symbol
_atom_site_fract_x
_atom_site_fract_y
_atom_site_fract_z
Sm1 Sm 0.0000 0.0000 0.0000
Tm1 Tm 0.0000 0.0000 0.2260
Tm2 Tm 0.0000 0.0000 0.4334
Tm3 Tm 0.3333 0.6667 0.1150
Sc1 Sc 0.3333 0.6667 0.3303
# Crystal system   hexagonal
# Density of states at the Fermi level   16.23 states/eV/cell
# Energy of formation   0.53 eV per formula unit
# Total moment   0.00 μB/atom

=====

# 4
# CaCuPd | the Alexandria database | PBE-GGA | relaxed
data_CaCuPd
_symmetry_space_group_name_H-M 'P -6 m 2'
_symmetry_Int_Tables_number 187
_symmetry_space_group_name_Hall 'P -6 2'
_cell_length_a 4.3153
_cell_length_b 4.3153
_cell_length_c 3.8447
_cell_angle_alpha 90.00
_cell_angle_beta 90.00
_cell_angle_gamma 120.00
loop_
_atom_site_label
_atom_site_type_symbol
_atom_site_fract_x
_atom_site_fract_y
_atom_site_fract_z
Ca1 Ca 0.0000 0.0000 0.0000
Cu1 Cu 0.3333 0.6667 0.5000
Pd1 Pd 0.6667 0.3333 0.5000
# Crystal system   hexagonal
# Density of states at the Fermi level   1.47 states/eV/cell
# Energy of formation   -1.16 eV per formula unit
# Total moment   0.00 μB/atom

=====

# 5
# Y3TlIr | the Alexandria database | PBE-GGA | relaxed
data_Y3TlIr
_symmetry_space_group_name_H-M 'P m -3 m'
_symmetry_Int_Tables_number 221
_symmetry_space_group_name_Hall '-P 4 2 3'
_cell_length_a 5.386
_cell_length_b 5.386
_cell_length_c 5.386
_cell_angle_alpha 90.00
_cell_angle_beta 90.00
_cell_angle_gamma 90.00
loop_
_atom_site_label
_atom_site_type_symbol
_atom_site_fract_x
_atom_site_fract_y
_atom_site_fract_z
Y1 Y 0.000 0.000 0.500
Tl1 Tl 0.500 0.500 0.500
Ir1 Ir 0.000 0.000 0.000
# Crystal system   cubic
# Density of states at the Fermi level   5.97 states/eV/cell
# Energy of formation   -1.73 eV per formula unit
# Total moment   0.00 μB/atom

=====

# 6
# La2NiRh | the Alexandria database | PBE-GGA | relaxed
data_La2NiRh
_symmetry_space_group_name_H-M 'R 3 m'
_symmetry_Int_Tables_number 160
_symmetry_space_group_name_Hall 'R 3 -2"'
_cell_length_a 4.2063
_cell_length_b 4.2063
_cell_length_c 21.7762
_cell_angle_alpha 90.00
_cell_angle_beta 90.00
_cell_angle_gamma 120.00
loop_
_atom_site_label
_atom_site_type_symbol
_atom_site_fract_x
_atom_site_fract_y
_atom_site_fract_z
La1 La 0.0000 0.0000 0.0000
La2 La 0.0000 0.0000 0.1733
Ni1 Ni 0.0000 0.0000 0.7529
Rh1 Rh 0.0000 0.0000 0.4199
# Crystal system   trigonal
# Density of states at the Fermi level   15.45 states/eV/cell
# Energy of formation   -1.67 eV per formula unit
# Total moment   0.00 μB/atom

=====

# 7
# Ba2NaW | the Alexandria database | PBE-GGA | relaxed
data_Ba2NaW
_symmetry_space_group_name_H-M 'F m -3 m'
_symmetry_Int_Tables_number 225
_symmetry_space_group_name_Hall '-F 4 2 3'
_cell_length_a 8.356
_cell_length_b 8.356
_cell_length_c 8.356
_cell_angle_alpha 90.00
_cell_angle_beta 90.00
_cell_angle_gamma 90.00
loop_
_atom_site_label
_atom_site_type_symbol
_atom_site_fract_x
_atom_site_fract_y
_atom_site_fract_z
Ba1 Ba 0.250 0.250 0.250
Na1 Na 0.000 0.000 0.000
W1 W 0.000 0.000 0.500
# Crystal system   cubic
# Density of states at the Fermi level   11.05 states/eV/cell
# Energy of formation   4.22 eV per formula unit
# Total moment   0.77 μB/atom

=====

# 8
# TlAgSe2 | the Alexandria database | PBE-GGA | relaxed
data_TlAgSe2
_symmetry_space_group_name_H-M 'P 1 2/m 1'
_symmetry_Int_Tables_number 10
_cell_length_a 4.924
_cell_length_b 4.281
_cell_length_c 5.539
_cell_angle_alpha 90.00
_cell_angle_beta 102.49
_cell_angle_gamma 90.00
loop_
_symmetry_equiv_pos_as_xyz
'x,y,z'
'-x,-y,-z'
'-x,y,-z'
'x,-y,z'
loop_
_atom_site_label
_atom_site_type_symbol
_atom_site_fract_x
_atom_site_fract_y
_atom_site_fract_z
Tl1 Tl 0.000 0.000 0.000
Ag1 Ag 0.500 0.000 0.500
Se1 Se 0.404 0.500 0.774
# Crystal system   monoclinic
# Formation energy without anion corrections   -140 meV/atom
# Density of states at the Fermi level   0.70 states/eV/cell
# Total moment   0.00 μB/atom

=====

# 9
# AcSmHoSe3 | the Alexandria database | PBE-GGA | relaxed
data_AcSmHoSe3
_symmetry_space_group_name_H-M 'P 1 21/m 1'
_symmetry_Int_Tables_number 11
_cell_length_a 8.190
_cell_length_b 4.226
_cell_length_c 10.416
_cell_angle_alpha 90.00
_cell_angle_beta 104.63
_cell_angle_gamma 90.00
loop_
_symmetry_equiv_pos_as_xyz
'x,y,z'
'-x,-y,-z'
'-x,y+1/2,-z'
'x,-y+1/2,z'
loop_
_atom_site_label
_atom_site_type_symbol
_atom_site_fract_x
_atom_site_fract_y
_atom_site_fract_z
Ac1 Ac 0.193 0.250 0.216
Sm1 Sm 0.334 0.750 0.909
Ho1 Ho 0.164 0.250 0.621
Se1 Se 0.089 0.250 0.885
Se2 Se 0.204 0.750 0.452
Se3 Se 0.488 0.750 0.202
# Crystal system   monoclinic
# Formation energy without anion corrections   -1650 meV/atom
# Density of states at the Fermi level   7.79 states/eV/cell
# Total moment   0.00 μB/atom

=====

# 10
# V3PtRh | the Alexandria database | PBE-GGA | relaxed
data_V3PtRh
_symmetry_space_group_name_H-M 'P m -3 m'
_symmetry_Int_Tables_number 221
_symmetry_space_group_name_Hall '-P 4 2 3'
_cell_length_a 4.477
_cell_length_b 4.477
_cell_length_c 4.477
_cell_angle_alpha 90.00
_cell_angle_beta 90.00
_cell_angle_gamma 90.00
loop_
_atom_site_label
_atom_site_type_symbol
_atom_site_fract_x
_atom_site_fract_y
_atom_site_fract_z
V1 V 0.000 0.000 0.500
Pt1 Pt 0.500 0.500 0.500
Rh1 Rh 0.000 0.000 0.000
# Crystal system   cubic
# Density of states at the Fermi level   7.06 states/eV/cell
# Energy of formation   4.67 eV per formula unit
# Total moment   0.00 μB/atom

=====

# 11
# Ba3TlHg2 | the Alexandria database | PBE-GGA | relaxed
data_Ba3TlHg2
_symmetry_space_group_name_H-M 'P 4/m m m'
_symmetry_Int_Tables_number 123
_symmetry_space_group_name_Hall '-P 4 2'
_cell_length_a 4.245
_cell_length_b 4.245
_cell_length_c 12.663
_cell_angle_alpha 90.00
_cell_angle_beta 90.00
_cell_angle_gamma 90.00
loop_
_atom_site_label
_atom_site_type_symbol
_atom_site_fract_x
_atom_site_fract_y
_atom_site_fract_z
Ba1 Ba 0.000 0.000 0.000
Ba2 Ba 0.000 0.000 0.330
Tl1 Tl 0.500 0.500 0.500
Hg1 Hg 0.500 0.500 0.166
# Crystal system   tetragonal
# Density of states at the Fermi level   3.60 states/eV/cell
# Energy of formation   -2.94 eV per formula unit
# Total moment   0.00 μB/atom

=====

# 12
# AcPmCdBi | the Alexandria database | PBE-GGA | relaxed
data_AcPmCdBi
_symmetry_space_group_name_H-M 'F -4 3 m'
_symmetry_Int_Tables_number 216
_symmetry_space_group_name_Hall 'F -4 2 3'
_cell_length_a 8.029
_cell_length_b 8.029
_cell_length_c 8.029
_cell_angle_alpha 90.00
_cell_angle_beta 90.00
_cell_angle_gamma 90.00
loop_
_atom_site_label
_atom_site_type_symbol
_atom_site_fract_x
_atom_site_fract_y
_atom_site_fract_z
Ac1 Ac 0.000 0.000 0.000
Pm1 Pm 0.000 0.000 0.500
Cd1 Cd 0.250 0.250 0.250
Bi1 Bi 0.250 0.250 0.750
# Crystal system   cubic
# Density of states at the Fermi level   17.71 states/eV/cell
# Energy of formation   -1.85 eV per formula unit
# Total moment   0.00 μB/atom

=====

Copy entry 9 word for word.
# AcSmHoSe3 | the Alexandria database | PBE-GGA | relaxed
data_AcSmHoSe3
_symmetry_space_group_name_H-M 'P 1 21/m 1'
_symmetry_Int_Tables_number 11
_cell_length_a 8.190
_cell_length_b 4.226
_cell_length_c 10.416
_cell_angle_alpha 90.00
_cell_angle_beta 104.63
_cell_angle_gamma 90.00
loop_
_symmetry_equiv_pos_as_xyz
'x,y,z'
'-x,-y,-z'
'-x,y+1/2,-z'
'x,-y+1/2,z'
loop_
_atom_site_label
_atom_site_type_symbol
_atom_site_fract_x
_atom_site_fract_y
_atom_site_fract_z
Ac1 Ac 0.193 0.250 0.216
Sm1 Sm 0.334 0.750 0.909
Ho1 Ho 0.164 0.250 0.621
Se1 Se 0.089 0.250 0.885
Se2 Se 0.204 0.750 0.452
Se3 Se 0.488 0.750 0.202
# Crystal system   monoclinic
# Formation energy without anion corrections   -1650 meV/atom
# Density of states at the Fermi level   7.79 states/eV/cell
# Total moment   0.00 μB/atom